# Ba4NaTlCd2 | Alexandria via LeMat-Bulk | PBE | relaxed
data_Ba4NaTlCd2
_chemical_formula_sum 'Ba12 Na3 Tl3 Cd6'
_cell_length_a 6.1384
_cell_length_b 6.1384
_cell_length_c 30.0910
_cell_angle_alpha 90.00
_cell_angle_beta 90.00
_cell_angle_gamma 120.00
_space_group_name_H-M_alt 'R -3 m'
_space_group_IT_number 166
_space_group_name_Hall '-R 3 2"'
loop_
_atom_site_label
_atom_site_type_symbol
_atom_site_fract_x
_atom_site_fract_y
_atom_site_fract_z
_atom_site_occupancy
Ba1 Ba 0.0000 0.0000 0.1192 1
Ba2 Ba 0.0000 0.0000 0.3696 1
Na1 Na 0.0000 0.0000 0.5000 1
Tl1 Tl 0.0000 0.0000 0.0000 1
Cd1 Cd 0.0000 0.0000 0.2459 1
# energy relative to the elements	-0.27	eV/atom
# DOS(E_F)	0.689	states/eV per atom
# ρ	5.081	Mg/m³